# 1
Compound: RbMo3S3
Source: Alexandria
Functional: meta-GGA SCAN
Structure: PBEsol geometry

Geometry as extended XYZ:
```
14
Lattice="-3.536 -2.142 1.499 3.765 -0.554 8.087 -5.130 7.020 -2.069" Properties=species:S:1:pos:R:3 pbc="T T T"
S -1.649 -1.404 3.779
Rb -4.817 2.888 2.440
Mo -6.881 4.313 -0.391
Rb -0.084 1.435 5.076
S -1.562 1.710 1.985
Mo -1.890 4.728 5.523
S -0.568 -0.117 8.166
S -4.333 4.440 -0.649
S -3.253 5.728 3.737
Mo -4.559 4.757 5.719
Mo 1.979 0.010 7.908
Mo -0.342 -0.434 1.798
S -3.339 2.613 5.532
Mo -3.011 -0.405 1.994
```

Values from the calculation:
The symmetry is P6_3/m. Its crystal system is hexagonal. The calculation puts the uncorrected formation energy at -0.93 eV per atom. As for the total magnetic moment: 0.00 μB per formula unit.

***

# 2
Compound: RbTlMoS2
Source: Alexandria
Functional: meta-GGA SCAN
Structure: PBEsol geometry

Geometry as extended XYZ:
```
5
Lattice="-0.454 1.085 4.536 3.104 -3.331 1.108 4.370 3.907 -0.497" Properties=species:S:1:pos:R:3 pbc="T T T"
Mo 0.000 0.000 0.000
S -0.227 0.542 2.268
Rb 2.185 1.953 -0.248
S 1.552 -1.666 0.554
Tl 3.510 0.830 2.574
```

Values from the calculation:
The symmetry is P4/mmm. Its crystal system is tetragonal. The calculation puts the uncorrected formation energy at 0.13 eV per atom. As for the total magnetic moment: 0.00 μB per formula unit.